Compound: YSn3Pd
Source: Alexandria
Functional: PBE
Structure: relaxed

Results
The crystal system is cubic. For the offset from the most stable computed form, the calculation gives 6.25 eV per formula unit. The calculation puts the formation energy at 0.81 eV per atom.

Cell: 5.698 5.698 5.698 Å, 90.00 90.00 90.00°
Space group Pm-3m (No. 221)
Asymmetric unit:
1 Y 0.000 0.000 0.000 (multiplicity 1)
2 Sn 0.000 0.000 0.500 (multiplicity 3)
3 Pd 0.500 0.500 0.500 (multiplicity 1)